Record 1
VASP calculation (meta-GGA SCAN) on Mg2TaAg at its PBEsol-relaxed geometry.

Computed properties:
- Relative energy among the computed polymorphs: 1.170 eV per formula unit
- Formation energy from the elements: 0.3452 eV/atom
- Uncorrected energy: -26.629 eV per atom
- SG: P4/mmm (123)

Unit cell a=4.1710 b=4.1563 c=4.1563 alpha=90.00 beta=90.00 gamma=90.00
Sites, in units of the cell vectors:
Ag 0.5000 0.0000 0.0000
Mg 0.0000 0.0000 0.5000
Mg 0.0000 0.5000 0.0000
Ta 0.5000 0.5000 0.5000

Record 2
VASP calculation (meta-GGA SCAN) on CaLa2Au at its PBEsol-relaxed geometry.

Computed properties:
- Relative energy among the computed polymorphs: 0.081 eV per formula unit
- Formation energy from the elements: -0.4604 eV/atom
- Uncorrected energy: -41.718 eV per atom
- SG: P4/mmm (123)

Unit cell a=3.8153 b=3.8153 c=8.8506 alpha=90.00 beta=90.00 gamma=90.00
Sites, in units of the cell vectors:
Ca 0.5000 0.5000 0.0000
Au 0.5000 0.5000 0.5000
La 0.0000 0.0000 0.3135
La 0.0000 0.0000 0.6865

Record 3
VASP calculation (meta-GGA SCAN) on In2PtRh at its PBEsol-relaxed geometry.

Computed properties:
- Formation energy from the elements: -0.4351 eV/atom
- Uncorrected energy: -43.120 eV per atom
- SG: Cmmm (65)

Unit cell a=3.1853 b=4.6129 c=4.6129 alpha=98.63 beta=90.00 gamma=90.00
Sites, in units of the cell vectors:
Rh 0.5000 0.5000 0.5000
Pt 0.5000 0.0000 0.0000
In 0.0000 0.5000 0.0000
In 0.0000 0.0000 0.5000

Record 4
VASP calculation (meta-GGA SCAN) on BaAg2Sb2 at its PBEsol-relaxed geometry.

Computed properties:
- Uncorrected energy: -35.897 eV per atom
- SG: I4/mmm (139)
- ΔE_f (raw): -0.536 eV/atom

Unit cell a=4.7359 b=4.7359 c=6.8108 alpha=110.35 beta=110.35 gamma=90.00
Sites, in units of the cell vectors:
Sb 0.3759 0.3759 0.7518
Sb 0.6241 0.6241 0.2482
Ba 0.0000 0.0000 0.0000
Ag 0.2500 0.7500 0.5000
Ag 0.7500 0.2500 0.5000

Record 5
VASP calculation (meta-GGA SCAN) on TlCdS2 at its PBEsol-relaxed geometry.

Computed properties:
- Relative energy among the computed polymorphs: 0.049 eV per formula unit
- Uncorrected energy: -30.873 eV per atom
- SG: P-3m1 (164)
- ΔE_f (raw): -0.366 eV/atom

Unit cell a=3.8488 b=3.8488 c=6.8157 alpha=90.00 beta=90.00 gamma=120.00
Sites, in units of the cell vectors:
Tl 0.0000 0.0000 0.5000
Cd 0.0000 0.0000 0.0000
S 0.3333 0.6667 0.2237
S 0.6667 0.3333 0.7763

Record 6
VASP calculation (meta-GGA SCAN) on FeCu2Ag at its PBEsol-relaxed geometry.

Computed properties:
- Relative energy among the computed polymorphs: 0.339 eV per formula unit
- Formation energy from the elements: 0.2279 eV/atom
- Uncorrected energy: -19.746 eV per atom
- SG: C2/m (12)

Unit cell a=2.5894 b=4.4637 c=4.6805 alpha=98.43 beta=90.00 gamma=106.86
Each line ends with the local moment (μB).
Sites, in units of the cell vectors:
Ag 0.0000 0.0000 0.5000  -0.02
Cu 0.7543 0.5086 0.7682  0.06
Cu 0.2457 0.4914 0.2318  0.06
Fe 0.5000 0.0000 0.0000  3.06

Record 7
VASP calculation (meta-GGA SCAN) on K3Zn at its PBEsol-relaxed geometry.

Computed properties:
- Formation energy from the elements: 0.1944 eV/atom
- Uncorrected energy: -9.431 eV per atom
- SG: I4/mmm (139)

Unit cell a=5.8882 b=5.8882 c=6.7731 alpha=115.76 beta=115.76 gamma=90.00
Sites, in units of the cell vectors:
K 0.7500 0.2500 0.5000
K 0.5000 0.5000 0.0000
K 0.2500 0.7500 0.5000
Zn 0.0000 0.0000 0.0000

Record 8
VASP calculation (meta-GGA SCAN) on CaSc3I at its PBEsol-relaxed geometry.

Computed properties:
- Uncorrected energy: -17.617 eV per atom
- SG: Pm-3m (221)
- ΔE_f (raw): 0.206 eV/atom

Unit cell a=5.3327 b=5.3327 c=5.3327 alpha=90.00 beta=90.00 gamma=90.00
Sites, in units of the cell vectors:
I 0.0000 0.0000 0.0000
Sc 0.0000 0.5000 0.0000
Sc 0.0000 0.0000 0.5000
Sc 0.5000 0.0000 0.0000
Ca 0.5000 0.5000 0.5000

Record 9
VASP calculation (meta-GGA SCAN) on SbOs2 at its PBEsol-relaxed geometry.

Computed properties:
- Uncorrected energy: -59.700 eV per atom
- SG: I4/mcm (140)
- ΔE_f (raw): 0.640 eV/atom

Unit cell a=5.1456 b=5.4277 c=5.1456 alpha=118.29 beta=90.00 gamma=118.29
Sites, in units of the cell vectors:
Os 0.3262 0.0000 0.8262
Os 0.6738 0.0000 0.1738
Os 0.8262 0.0000 0.6738
Os 0.1738 0.0000 0.3262
Sb 0.2500 0.5000 0.2500
Sb 0.7500 0.5000 0.7500

Record 10
VASP calculation (meta-GGA SCAN) on LiGa3Te5 at its PBEsol-relaxed geometry.

Computed properties:
- Uncorrected energy: -26.883 eV per atom
- SG: R3 (146)
- ΔE_f (raw): -0.473 eV/atom

Unit cell a=10.0944 b=10.0944 c=10.0944 alpha=90.21 beta=90.21 gamma=90.21
Sites, in units of the cell vectors:
Li 0.7331 0.9972 0.2656
Li 0.4906 0.4906 0.4906
Li 0.2656 0.7331 0.9972
Li 0.9972 0.2656 0.7331
Ga 0.8704 0.8393 0.5705
Ga 0.8393 0.5705 0.8704
Ga 0.8298 0.6607 0.2486
Ga 0.7493 0.3368 0.1679
Ga 0.6607 0.2486 0.8298
Ga 0.5705 0.8704 0.8393
Ga 0.4265 0.1579 0.1264
Ga 0.3368 0.1679 0.7493
Ga 0.2486 0.8298 0.6607
Ga 0.1679 0.7493 0.3368
Ga 0.1579 0.1264 0.4265
Ga 0.1264 0.4265 0.1579
Te 0.9990 0.8343 0.1627
Te 0.9328 0.4316 0.3327
Te 0.9115 0.0859 0.4987
Te 0.8343 0.1627 0.9990
Te 0.8312 0.8312 0.8312
Te 0.7546 0.4272 0.6697
Te 0.6697 0.7546 0.4272
Te 0.6653 0.5657 0.0648
Te 0.5705 0.2415 0.3275
Te 0.5657 0.0648 0.6653
Te 0.4987 0.9115 0.0859
Te 0.4316 0.3327 0.9328
Te 0.4272 0.6697 0.7546
Te 0.3327 0.9328 0.4316
Te 0.3275 0.5705 0.2415
Te 0.2415 0.3275 0.5705
Te 0.1660 0.1660 0.1660
Te 0.1627 0.9990 0.8343
Te 0.0859 0.4987 0.9115
Te 0.0648 0.6653 0.5657

Record 11
VASP calculation (meta-GGA SCAN) on Y2AlPt at its PBEsol-relaxed geometry.

Computed properties:
- Formation energy from the elements: -0.9970 eV/atom
- Uncorrected energy: -34.405 eV per atom
- SG: Amm2 (38)

Unit cell a=3.8363 b=4.3070 c=5.7843 alpha=90.00 beta=109.37 gamma=90.00
Sites, in units of the cell vectors:
Y 0.1069 0.0000 0.2139
Y 0.3992 0.5000 0.7985
Al 0.8201 0.0000 0.6402
Pt 0.6785 0.5000 0.3571

Record 12
VASP calculation (meta-GGA SCAN) on LiZnIn2 at its PBEsol-relaxed geometry.

Computed properties:
- Formation energy from the elements: -0.1016 eV/atom
- Uncorrected energy: -20.771 eV per atom
- SG: Cmmm (65)

Unit cell a=3.1393 b=5.1174 c=5.1174 alpha=108.01 beta=90.00 gamma=90.00
Sites, in units of the cell vectors:
Zn 0.5000 0.5000 0.5000
In 0.0000 0.5000 0.0000
In 0.0000 0.0000 0.5000
Li 0.5000 0.0000 0.0000

Record 13
VASP calculation (meta-GGA SCAN) on CoIr2W at its PBEsol-relaxed geometry.

Computed properties:
- Relative energy among the computed polymorphs: 0.838 eV per formula unit
- Formation energy from the elements: -0.0821 eV/atom
- Uncorrected energy: -57.380 eV per atom
- SG: C2/m (12)

Unit cell a=2.6951 b=4.6136 c=4.6356 alpha=99.58 beta=90.00 gamma=106.98
Each line ends with the local moment (μB).
Sites, in units of the cell vectors:
Co 0.5000 0.0000 0.0000  1.56
Ir 0.7519 0.5038 0.7588  0.05
Ir 0.2481 0.4962 0.2412  0.05
W 0.0000 0.0000 0.5000  -0.08

Record 14
VASP calculation (meta-GGA SCAN) on LaZrFeOs2 at its PBEsol-relaxed geometry.

Computed properties:
- Formation energy from the elements: 1.0297 eV/atom
- Uncorrected energy: -46.109 eV per atom
- SG: P4/mmm (123)

Unit cell a=4.5343 b=4.8858 c=4.8858 alpha=90.00 beta=90.00 gamma=90.00
Each line ends with the local moment (μB).
Sites, in units of the cell vectors:
Os 0.0000 0.0000 0.5000  0.25
Os 0.0000 0.5000 0.0000  0.25
Fe 0.5000 0.0000 0.0000  2.67
Zr 0.0000 0.0000 0.0000  -0.24
La 0.5000 0.5000 0.5000  -0.03

Record 15
VASP calculation (meta-GGA SCAN) on BaTa4Sb at its PBEsol-relaxed geometry.

Computed properties:
- Uncorrected energy: -56.423 eV per atom
- SG: F-43m (216)
- ΔE_f (raw): 0.767 eV/atom

Unit cell a=5.7029 b=5.7029 c=5.7029 alpha=60.00 beta=60.00 gamma=60.00
Sites, in units of the cell vectors:
Ba 0.7500 0.7500 0.7500
Sb 0.0000 0.0000 0.0000
Ta 0.3778 0.3778 0.3778
Ta 0.3778 0.3778 0.8666
Ta 0.8666 0.3778 0.3778
Ta 0.3778 0.8666 0.3778

Record 16
VASP calculation (meta-GGA SCAN) on LaBeSb at its PBEsol-relaxed geometry.

Computed properties:
- Relative energy among the computed polymorphs: 0.000 eV per formula unit
- Uncorrected energy: -28.469 eV per atom
- SG: Fmm2 (42)
- ΔE_f (raw): -0.229 eV/atom

Unit cell a=3.6314 b=3.6314 c=5.9483 alpha=103.23 beta=103.23 gamma=104.49
Sites, in units of the cell vectors:
Sb 0.6330 0.6330 0.2661
La 0.3387 0.3387 0.6773
Be 0.0283 0.0283 0.0566

Record 17
VASP calculation (meta-GGA SCAN) on Ca4ZrTl at its PBEsol-relaxed geometry.

Computed properties:
- Formation energy from the elements: 0.4384 eV/atom
- Uncorrected energy: -23.180 eV per atom
- SG: F-43m (216)

Unit cell a=6.4428 b=6.4428 c=6.4428 alpha=60.00 beta=60.00 gamma=60.00
Each line ends with the local moment (μB).
Sites, in units of the cell vectors:
Ca 0.8762 0.3746 0.3746  0.15
Ca 0.3746 0.3746 0.3746  0.15
Ca 0.3746 0.3746 0.8762  0.15
Ca 0.3746 0.8762 0.3746  0.15
Tl 0.7500 0.7500 0.7500  -0.03
Zr 0.0000 0.0000 0.0000  1.52

Record 18
VASP calculation (meta-GGA SCAN) on Ba2PbN at its PBEsol-relaxed geometry.

Computed properties:
- Uncorrected energy: -40.803 eV per atom
- SG: Fm-3m (225)
- ΔE_f (raw): 0.240 eV/atom

Unit cell a=5.5589 b=5.5589 c=5.5589 alpha=60.00 beta=60.00 gamma=60.00
Each line ends with the local moment (μB).
Sites, in units of the cell vectors:
Pb 0.5000 0.5000 0.5000  -0.17
Ba 0.2500 0.2500 0.2500  -0.03
Ba 0.7500 0.7500 0.7500  -0.03
N 0.0000 0.0000 0.0000  -1.08

Record 19
VASP calculation (meta-GGA SCAN) on Na2TlSb2 at its PBEsol-relaxed geometry.

Computed properties:
- Uncorrected energy: -31.317 eV per atom
- SG: P4/mbm (127)
- ΔE_f (raw): -0.255 eV/atom

Unit cell a=4.6196 b=8.0355 c=8.0355 alpha=90.00 beta=90.00 gamma=90.00
Sites, in units of the cell vectors:
Sb 0.0000 0.3761 0.8761
Sb 0.0000 0.8761 0.6239
Sb 0.0000 0.6239 0.1239
Sb 0.0000 0.1239 0.3761
Tl 0.0000 0.0000 0.0000
Tl 0.0000 0.5000 0.5000
Na 0.5000 0.1719 0.6719
Na 0.5000 0.6719 0.8281
Na 0.5000 0.8281 0.3281
Na 0.5000 0.3281 0.1719

Record 20
VASP calculation (meta-GGA SCAN) on InSi2Te at its PBEsol-relaxed geometry.

Computed properties:
- Relative energy among the computed polymorphs: 0.000 eV per formula unit
- Uncorrected energy: -22.381 eV per atom
- SG: Amm2 (38)
- ΔE_f (raw): 0.287 eV/atom

Unit cell a=3.7798 b=5.0443 c=5.0435 alpha=114.38 beta=90.00 gamma=90.00
Sites, in units of the cell vectors:
In 0.5000 0.2241 0.7763
Si 0.0000 0.9669 0.0320
Si 0.5000 0.7852 0.2153
Te 0.0000 0.5238 0.4764

Record 21
VASP calculation (meta-GGA SCAN) on Co3Pt2 at its PBEsol-relaxed geometry.

Computed properties:
- Relative energy among the computed polymorphs: 1.015 eV per formula unit
- Formation energy from the elements: 0.1547 eV/atom
- Uncorrected energy: -38.305 eV per atom
- SG: P-3m1 (164)

Unit cell a=4.0531 b=4.0531 c=5.0169 alpha=90.00 beta=90.00 gamma=120.00
Each line ends with the local moment (μB).
Sites, in units of the cell vectors:
Co 0.0000 0.0000 0.0000  2.02
Co 0.3333 0.6667 0.3657  2.09
Co 0.6667 0.3333 0.6343  2.09
Pt 0.3333 0.6667 0.8473  0.29
Pt 0.6667 0.3333 0.1527  0.29

Record 22
VASP calculation (meta-GGA SCAN) on RbTl3 at its PBEsol-relaxed geometry.

Computed properties:
- Formation energy from the elements: -0.1476 eV/atom
- Uncorrected energy: -59.601 eV per atom
- SG: P6_3/mmc (194)

Unit cell a=5.1805 b=7.9661 c=7.9661 alpha=120.00 beta=90.00 gamma=90.00
Sites, in units of the cell vectors:
Rb 0.7500 0.3333 0.6667
Rb 0.2500 0.6667 0.3333
Tl 0.2500 0.7230 0.8615
Tl 0.2500 0.1385 0.2770
Tl 0.2500 0.1385 0.8615
Tl 0.7500 0.2770 0.1385
Tl 0.7500 0.8615 0.7230
Tl 0.7500 0.8615 0.1385

Record 23
VASP calculation (meta-GGA SCAN) on Os2SeCl at its PBEsol-relaxed geometry.

Computed properties:
- Uncorrected energy: -41.720 eV per atom
- SG: Cmmm (65)
- ΔE_f (raw): 1.234 eV/atom

Unit cell a=2.8473 b=2.9534 c=8.3667 alpha=90.00 beta=90.00 gamma=118.82
Sites, in units of the cell vectors:
Os 0.0000 0.0000 0.7429
Os 0.0000 0.0000 0.2571
Se 0.5000 0.0000 0.5000
Cl 0.5000 0.0000 0.0000

Record 24
VASP calculation (meta-GGA SCAN) on BaSrSi2 at its PBEsol-relaxed geometry.

Computed properties:
- Relative energy among the computed polymorphs: 2.482 eV per formula unit
- Uncorrected energy: -20.315 eV per atom
- SG: I-4m2 (119)
- ΔE_f (raw): 0.150 eV/atom

Unit cell a=4.6163 b=4.6163 c=6.1000 alpha=112.23 beta=112.23 gamma=90.00
Sites, in units of the cell vectors:
Ba 0.2500 0.7500 0.5000
Si 0.0000 0.0000 0.0000
Si 0.7500 0.2500 0.5000
Sr 0.5000 0.5000 0.0000

Record 25
VASP calculation (meta-GGA SCAN) on BeCoS3 at its PBEsol-relaxed geometry.

Computed properties:
- Uncorrected energy: -9.512 eV per atom
- SG: Pm-3m (221)
- ΔE_f (raw): 0.597 eV/atom

Unit cell a=4.2062 b=4.2062 c=4.2062 alpha=90.00 beta=90.00 gamma=90.00
Each line ends with the local moment (μB).
Sites, in units of the cell vectors:
Be 0.0000 0.0000 0.0000  -0.01
S 0.0000 0.5000 0.0000  0.02
S 0.0000 0.0000 0.5000  0.02
S 0.5000 0.0000 0.0000  0.02
Co 0.5000 0.5000 0.5000  2.46

Record 26
VASP calculation (meta-GGA SCAN) on MnFe2Si at its PBEsol-relaxed geometry.

Computed properties:
- Uncorrected energy: -16.374 eV per atom
- SG: Pmmm (47)
- ΔE_f (raw): -0.241 eV/atom

Unit cell a=2.7899 b=3.8731 c=3.8696 alpha=90.00 beta=90.00 gamma=90.00
Each line ends with the local moment (μB).
Sites, in units of the cell vectors:
Si 0.0000 0.5000 0.5000  -0.01
Mn 0.5000 0.0000 0.5000  -0.70
Fe 0.0000 0.0000 0.0000  2.54
Fe 0.5000 0.5000 0.0000  1.21

Record 27
VASP calculation (meta-GGA SCAN) on TcSb2OsI at its PBEsol-relaxed geometry.

Computed properties:
- Uncorrected energy: -42.300 eV per atom
- SG: P4/mmm (123)
- ΔE_f (raw): 1.340 eV/atom

Unit cell a=4.9936 b=4.9936 c=5.5660 alpha=90.00 beta=90.00 gamma=90.00
Each line ends with the local moment (μB).
Sites, in units of the cell vectors:
I 0.0000 0.0000 0.5000  0.05
Sb 0.0000 0.5000 0.0000  -0.06
Sb 0.5000 0.0000 0.0000  -0.06
Os 0.0000 0.0000 0.0000  -0.08
Tc 0.5000 0.5000 0.5000  3.98